VASP calculation (SCAN) on BaSn2WF at its PBEsol-relaxed geometry.

Lattice parameters (Å, degrees): 4.5073 6.1476 6.1476 90.00 90.00 90.00
Each line ends with the local moment (μB).
Fractional positions:
F: 0.5000 0.0000 0.0000  0.00
Ba: 0.0000 0.0000 0.0000  -0.03
W: 0.5000 0.5000 0.5000  3.21
Sn: 0.0000 0.0000 0.5000  -0.07
Sn: 0.0000 0.5000 0.0000  -0.07

Fermi-level density of states   4.1 states/eV/f.u.
Crystal system   tetragonal
Uncorrected formation energy   90 kJ/mol of atoms
Total moment   4.07 μB/f.u.
Theoretical density   5.6 g/cm3
Calculated total energy   -1.3228 Ha/atom

***

VASP calculation (SCAN) on BaYSn2F at its PBEsol-relaxed geometry.

Lattice parameters (Å, degrees): 4.8979 5.2398 5.2398 90.00 90.00 90.00
Fractional positions:
Y: 0.5000 0.5000 0.5000
F: 0.0000 0.0000 0.0000
Ba: 0.5000 0.0000 0.0000
Sn: 0.0000 0.0000 0.5000
Sn: 0.0000 0.5000 0.0000

Fermi-level density of states   2.3 states/eV/f.u.
Crystal system   tetragonal
Uncorrected formation energy   -96 kJ/mol of atoms
Total moment   0.00 μB/f.u.
Theoretical density   6.0 g/cm3
Calculated total energy   -1.0860 Ha/atom

***

VASP calculation (SCAN) on BaSrF3 at its PBEsol-relaxed geometry.

Lattice parameters (Å, degrees): 4.7587 4.7587 4.7587 90.00 90.00 90.00
Each line ends with the local moment (μB).
Fractional positions:
Ba: 0.0000 0.0000 0.0000  0.23
F: 0.0000 0.5000 0.5000  0.01
F: 0.5000 0.0000 0.5000  0.01
F: 0.5000 0.5000 0.0000  0.01
Sr: 0.5000 0.5000 0.5000  0.00

Fermi-level density of states   1.8 states/eV/f.u.
Crystal system   cubic
Uncorrected formation energy   -320 kJ/mol of atoms
Total moment   0.72 μB/f.u.
Theoretical density   4.3 g/cm3
Energy above the most stable polymorph in this dataset   0.000 eV per atom
Calculated total energy   -0.6542 Ha/atom

***

VASP calculation (SCAN) on BaSrF2 at its PBEsol-relaxed geometry.

Lattice parameters (Å, degrees): 4.4101 4.4101 7.0733 71.84 71.84 60.00
Fractional positions:
Sr: 0.0000 0.0000 0.0000
Ba: 0.5000 0.5000 0.5000
F: 0.8784 0.8784 0.3649
F: 0.1216 0.1216 0.6351

Fermi-level density of states   1.0 states/eV/f.u.
Crystal system   trigonal
Uncorrected formation energy   -294 kJ/mol of atoms
Total moment   0.00 μB/f.u.
Theoretical density   3.9 g/cm3
Calculated total energy   -0.7451 Ha/atom

***

VASP calculation (SCAN) on BaSrF3 at its PBEsol-relaxed geometry.

Lattice parameters (Å, degrees): 5.0422 5.0422 5.0422 90.00 90.00 90.00
Fractional positions:
Ba: 0.5000 0.5000 0.5000
F: 0.0000 0.5000 0.5000
F: 0.5000 0.0000 0.5000
F: 0.5000 0.5000 0.0000
Sr: 0.0000 0.0000 0.0000

Fermi-level density of states   1.2 states/eV/f.u.
Crystal system   cubic
Uncorrected formation energy   -294 kJ/mol of atoms
Total moment   0.00 μB/f.u.
Theoretical density   3.7 g/cm3
Energy above the most stable polymorph in this dataset   0.271 eV per atom
Calculated total energy   -0.6443 Ha/atom

***

VASP calculation (SCAN) on BaTbF6 at its PBEsol-relaxed geometry.

Lattice parameters (Å, degrees): 4.6767 7.5566 7.5566 119.79 90.00 90.00
Each line ends with the local moment (μB).
Fractional positions:
Ba: 0.6566 0.7500 0.2500  -0.01
Ba: 0.3434 0.2500 0.7500  -0.01
F: 0.7722 0.5496 0.4504  0.03
F: 0.7722 0.9504 0.0496  0.03
F: 0.2278 0.0496 0.9504  0.03
F: 0.2278 0.4504 0.5496  0.03
F: 0.7529 0.3362 0.0452  0.24
F: 0.7529 0.1638 0.4548  0.24
F: 0.2471 0.4548 0.1638  0.24
F: 0.2471 0.0452 0.3362  0.24
F: 0.2471 0.6638 0.9548  0.24
F: 0.2471 0.8362 0.5452  0.24
F: 0.7529 0.5452 0.8362  0.24
F: 0.7529 0.9548 0.6638  0.24
Tb: 0.0000 0.7500 0.7500  -0.03
Tb: 0.0000 0.2500 0.2500  -0.03

Fermi-level density of states   2.9 states/eV/f.u.
Crystal system   orthorhombic
Uncorrected formation energy   -355 kJ/mol of atoms
Total moment   1.04 μB/f.u.
Theoretical density   5.9 g/cm3
Calculated total energy   -0.6294 Ha/atom

***

VASP calculation (SCAN) on BaTbF6 at its PBEsol-relaxed geometry.

Lattice parameters (Å, degrees): 7.4067 8.5411 8.4922 101.92 112.23 95.32
Each line ends with the local moment (μB).
Fractional positions:
Ba: 0.7203 0.2623 0.7133  0.00
Ba: 0.2797 0.7377 0.2867  0.00
Ba: 0.2809 0.5570 0.7611  0.00
Ba: 0.7191 0.4430 0.2389  0.00
F: 0.9103 0.0199 0.7644  0.09
F: 0.0897 0.9801 0.2356  0.09
F: 0.8643 0.5150 0.5899  0.06
F: 0.1357 0.4850 0.4101  0.06
F: 0.5000 0.0000 0.0000  0.53
F: 0.9026 0.6963 0.2131  0.04
F: 0.0974 0.3037 0.7869  0.04
F: 0.7049 0.7578 0.4374  0.09
F: 0.2951 0.2422 0.5626  0.09
F: 0.0000 0.0000 0.5000  0.22
F: 0.4985 0.2963 0.9037  0.03
F: 0.5015 0.7037 0.0963  0.03
F: 0.5821 0.0113 0.3805  0.40
F: 0.4179 0.9887 0.6195  0.40
F: 0.6332 0.5555 0.7604  0.11
F: 0.3668 0.4445 0.2396  0.11
F: 0.1285 0.8179 0.7176  0.07
F: 0.8715 0.1821 0.2824  0.07
F: 0.9426 0.3164 0.0599  0.13
F: 0.0574 0.6836 0.9401  0.13
F: 0.7492 0.8893 0.9569  0.21
F: 0.2508 0.1107 0.0431  0.21
F: 0.5183 0.2381 0.3661  0.43
F: 0.4817 0.7619 0.6339  0.43
Tb: 0.8227 0.7547 0.7272  -0.02
Tb: 0.1773 0.2453 0.2728  -0.02
Tb: 0.7645 0.9100 0.2275  -0.03
Tb: 0.2355 0.0900 0.7725  -0.03

Fermi-level density of states   4.2 states/eV/f.u.
Crystal system   triclinic
Uncorrected formation energy   -359 kJ/mol of atoms
Total moment   1.05 μB/f.u.
Theoretical density   5.7 g/cm3
Calculated total energy   -0.6308 Ha/atom

***

VASP calculation (SCAN) on BaTeF6 at its PBEsol-relaxed geometry.

Lattice parameters (Å, degrees): 8.7650 8.7841 8.7841 60.74 75.16 104.84
Each line ends with the local moment (μB).
Fractional positions:
Ba: 0.8453 0.2094 0.0236  0.00
Ba: 0.1547 0.1312 0.6359  0.00
Ba: 0.3453 0.2264 0.0406  0.00
Ba: 0.6547 0.6141 0.1188  0.00
F: 0.8333 0.8437 0.6882  0.00
F: 0.1667 0.4785 0.9896  0.00
F: 0.3333 0.5618 0.4063  0.00
F: 0.6667 0.2604 0.7715  0.00
F: 0.6804 0.9392 0.4795  0.00
F: 0.3196 0.8401 0.7412  0.00
F: 0.1804 0.7705 0.3108  0.00
F: 0.8196 0.5088 0.4099  0.00
F: 0.5320 0.5808 0.7002  0.00
F: 0.4680 0.7678 0.9512  0.00
F: 0.0320 0.5498 0.6692  0.00
F: 0.9680 0.2988 0.4822  0.00
F: 0.8356 0.9986 0.8965  0.05
F: 0.1644 0.2679 0.8370  0.05
F: 0.3356 0.3535 0.2514  0.05
F: 0.6644 0.4130 0.9821  0.05
F: 0.7206 0.7876 0.3098  0.00
F: 0.2794 0.9696 0.9330  0.00
F: 0.2206 0.9402 0.4624  0.00
F: 0.7794 0.3170 0.2804  0.00
F: 0.9899 0.0263 0.2871  0.00
F: 0.0101 0.7230 0.9636  0.00
F: 0.4899 0.9629 0.2237  0.00
F: 0.5101 0.2864 0.5270  0.00
Te: 0.7863 0.7649 0.5202  0.00
Te: 0.2137 0.6935 0.0214  0.00
Te: 0.2863 0.7298 0.4851  0.00
Te: 0.7137 0.2286 0.5565  0.00

Fermi-level density of states   0.0 states/eV/f.u.
Crystal system   orthorhombic
Uncorrected formation energy   -285 kJ/mol of atoms
Total moment   0.07 μB/f.u.
Theoretical density   4.9 g/cm3
Calculated total energy   -0.5591 Ha/atom